VASP calculation (PBE) on a geometry-optimized Li6TbMg6 structure.

It has space group Immm (No. 71), with a = 5.4491 Å, b = 10.0199 Å, c = 10.2605 Å, α = 90.00°, β = 90.00° and γ = 90.00°. Symmetry generates all atoms from Li at (0.0000, 0.0000, 0.2208), Li at (0.2500, 0.2500, 0.2500), Tb at (0.0000, 0.5000, 0.5000), Mg at (0.0000, 0.1521, 0.5000), Mg at (0.0000, 0.1967, 0.0000) and Mg at (0.0000, 0.5000, 0.1496).

For the formation energy, the calculation gives -0.25 eV/f.u. Its density of states at the Fermi level is 16.814 states/eV/cell. The volume comes out at 21.55 Å³/atom.